Below is a relaxed CsZnCo2F8 crystal, with properties calculated at the PBE+U level.

Cell lengths 4.9065, 4.9906, 8.1883 Å; angles 91.20, 91.79, 95.36 degrees
With the nearest neighbours (Å) after each atom.
Positions (direct):
Cs 0.0000 0.0000 0.0000  6 F 2.93-3.05
Zn 0.0000 0.0000 0.5000  4 F 1.99-2.01
Co 0.4778 0.5073 0.3272  5 F 1.82-2.02
Co 0.5222 0.4927 0.6728  5 F 1.82-2.02
F 0.2190 0.2133 0.6790  1 Co 1.94, 1 Zn 2.01
F 0.2316 0.1762 0.3300  1 Co 1.95, 1 Zn 1.99
F 0.2893 0.6757 0.5138  2 Co 2.00-2.02
F 0.3334 0.5915 0.1301  1 Co 1.82
F 0.6666 0.4085 0.8699  1 Co 1.82
F 0.7107 0.3243 0.4862  2 Co 2.00-2.02
F 0.7684 0.8238 0.6700  1 Co 1.95, 1 Zn 1.99
F 0.7810 0.7867 0.3210  1 Co 1.94, 1 Zn 2.01

## Properties
final energy: -0.1635 hartree per atom
total magnetization: 7.00 Bohr magnetons per cell
space-group type: P-1, No. 2